PBE-GGA ZrSbTe2, relaxed; E_form (uncorrected) = -0.442 eV per atom; raw total energy = -5.181 eV per atom
1.0
3.7383 0.0000 0.0000
0.0000 3.7383 0.0000
0.0000 0.0000 8.0041
Zr Sb Te
1 1 2
direct
0.0000 0.0000 0.0000 Zr
0.5000 0.5000 0.1839 Sb
0.0000 0.0000 0.3983 Te
0.5000 0.5000 0.7931 Te